# 1
Density functional theory data (GGA-PBE) for a relaxed EuYGaHg crystal.

a = 5.297 Å, b = 5.297 Å, c = 5.297 Å
α = 60.00°, β = 60.00°, γ = 60.00°
Each line ends with the local moment (μB).
Positions (direct):
Eu 0.250 0.250 0.250  -6.83
Y 0.750 0.750 0.750  -0.05
Hg 0.000 0.000 0.000  -0.02
Ga 0.500 0.500 0.500  0.02

Values from the calculation:
space group: F-43m, No. 216
D(E_F): 6.91 states/eV/f.u.
DFT formation energy: -1.98 eV/f.u.
volume: 105.12 Å³ per cell

# 2
Density functional theory data (GGA-PBE) for a relaxed Pr2Zn2Ru crystal.

a = 4.036 Å, b = 5.839 Å, c = 10.842 Å
α = 79.05°, β = 79.27°, γ = 69.78°
Positions (direct):
Pr 0.303 0.267 0.127
Pr 0.503 0.333 0.661
Pr 0.697 0.733 0.873
Pr 0.497 0.667 0.339
Zn 0.978 0.152 0.891
Zn 0.180 0.190 0.449
Zn 0.022 0.848 0.109
Zn 0.820 0.810 0.551
Ru 0.806 0.077 0.312
Ru 0.194 0.923 0.688

Values from the calculation:
space group: C2/m, No. 12
D(E_F): 3.54 states/eV/f.u.
DFT formation energy: -1.41 eV/f.u.
E above lowest polymorph: 0.000 eV/atom
volume: 233.36 Å³ per cell

# 3
Density functional theory data (GGA-PBE) for a relaxed LaTi2VCd crystal.

a = 4.790 Å, b = 4.582 Å, c = 4.790 Å
α = 90.00°, β = 90.00°, γ = 90.00°
Positions (direct):
V 0.000 0.500 0.000
Cd 0.500 0.500 0.500
Ti 0.000 0.000 0.500
Ti 0.500 0.000 0.000
La 0.000 0.000 0.000

Values from the calculation:
space group: P4/mmm, No. 123
D(E_F): 3.82 states/eV/f.u.
DFT formation energy: 6.14 eV/f.u.
volume: 105.14 Å³ per cell

# 4
Density functional theory data (GGA-PBE) for a relaxed LiSm3H crystal.

a = 4.982 Å, b = 4.982 Å, c = 4.982 Å
α = 90.00°, β = 90.00°, γ = 90.00°
Positions (direct):
H 0.000 0.000 0.000
Sm 0.000 0.500 0.000
Sm 0.000 0.000 0.500
Sm 0.500 0.000 0.000
Li 0.500 0.500 0.500

Values from the calculation:
space group: Pm-3m, No. 221
D(E_F): 6.36 states/eV/f.u.
E_tot: -19.606 eV for the cell shown
volume: 123.67 Å³ per cell

The evaluated ρ for the records listed, in turn: 8.075, 7.311, 6.286, 6.164 g/cm3.